*one*
DFT (PBE) results for Bi2PSe after structural relaxation.

abc: 5.153 5.153 5.153
angles: 60.00 60.00 60.00
Element x y z (fractional)
Bi 0.250 0.250 0.250
Bi 0.750 0.750 0.750
P 0.000 0.000 0.000
Se 0.500 0.500 0.500

Computed properties:
Its size of the total moment is 0.000 μB/f.u.

*two*
DFT (PBE) results for Bi2PSe after structural relaxation.

abc: 7.921 7.921 7.921
angles: 29.50 29.50 29.50
Element x y z (fractional)
Bi 0.244 0.244 0.244
Bi 0.756 0.756 0.756
P 0.500 0.500 0.500
Se 0.000 0.000 0.000

Computed properties:
Its size of the total moment is 0.000 μB/f.u.

*three*
DFT (PBE) results for Bi2PSe after structural relaxation.

abc: 7.140 7.140 7.140
angles: 118.26 118.26 93.04
Element x y z (fractional)
Bi 0.104 0.125 0.479
Bi 0.375 0.896 0.021
Bi 0.646 0.625 0.521
Bi 0.875 0.354 0.979
P 0.000 0.000 0.000
P 0.750 0.250 0.500
Se 0.250 0.750 0.500
Se 0.500 0.500 0.000

Computed properties:
Its size of the total moment is 0.000 μB/f.u.

*four*
DFT (PBE) results for Bi2PSe after structural relaxation.

abc: 8.123 8.123 8.123
angles: 28.43 28.43 28.43
Element x y z (fractional)
Bi 0.000 0.000 0.000
Bi 0.181 0.181 0.181
P 0.593 0.593 0.593
Se 0.766 0.766 0.766

Computed properties:
Its size of the total moment is 0.000 μB/f.u.

Energies relative to the most stable structure, in eV/atom: *one* 0.221; *two* 0.000; *three* 0.162; *four* 0.031.